! Li4Zn4Pd, relaxed, DFT PBE; values from VASP
&SYSTEM
  ibrav = 0, nat = 9, ntyp = 3
/
ATOMIC_SPECIES
Zn 65.41 Zn.upf
Li 6.94 Li.upf
Pd 106.42 Pd.upf
ATOMIC_POSITIONS crystal
Zn 0.000 0.334 0.666
Zn 0.666 0.334 0.334
Li 0.664 0.673 0.000
Zn 0.000 0.666 0.334
Li 0.337 0.000 0.327
Li 0.663 0.000 0.673
Li 0.336 0.327 0.000
Zn 0.334 0.666 0.666
Pd 0.000 0.000 0.000
CELL_PARAMETERS angstrom
-0.141 -3.815 -1.378
1.204 -3.824 4.488
-5.587 -2.160 0.575
! Energy relative to the lowest polymorph listed for this composition, eV per formula unit: 0.00
! Energy of formation from the pure elements, eV per formula unit: -2.52
! Magnetic moment, μB per cell: 0.0